Entry from the Open Quantum Materials Database: a relaxed structure of Ga8Tc (GGA-PBE).

a = 7.2969 Å, b = 7.2969 Å, c = 3.3818 Å
α = 90.00°, β = 90.00°, γ = 120.00°
With the nearest neighbours (Å) after each atom.
Fractional coordinates of all 9 atoms:
Ga 0.0000 0.2708 0.5000  2 Tc 2.60, 2 Ga 2.69
Ga 0.6667 0.3333 0.5000  9 Ga 2.69-2.86
Ga 0.6297 0.0000 0.0000  1 Tc 2.70, 8 Ga 2.86-2.95
Ga 0.3333 0.6667 0.5000  9 Ga 2.69-2.86
Ga 0.7292 0.7292 0.5000  2 Tc 2.60, 2 Ga 2.69
Ga 0.2708 0.0000 0.5000  2 Tc 2.60, 2 Ga 2.69
Ga 0.3703 0.3703 0.0000  1 Tc 2.70, 8 Ga 2.86-2.95
Ga 0.0000 0.6297 0.0000  1 Tc 2.70, 8 Ga 2.86-2.95
Tc 0.0000 0.0000 0.0000  9 Ga 2.60-2.70

Values from the calculation:
- V (Å³/cell) = 156
- energy (eV/cell) = -34.9
- magnetic moment (μB/f.u.) = 0.00
- SG = P-62m (189)